1.
Ac3PaTl3Te8 | PBE | optimized geometry

Structure (POSCAR):
```
Ac3PaTl3Te8
1.0
4.743 2.739 8.199
-4.743 2.739 8.199
0.000 -5.477 8.199
Ac Pa Tl Te
3 1 3 8
Direct
0.000 0.500 0.500 Ac
0.500 0.000 0.500 Ac
0.500 0.500 0.000 Ac
0.000 0.000 0.000 Pa
0.000 0.000 0.500 Tl
0.000 0.500 0.000 Tl
0.500 0.000 0.000 Tl
0.229 0.229 0.760 Te
0.229 0.760 0.229 Te
0.240 0.771 0.771 Te
0.257 0.257 0.257 Te
0.743 0.743 0.743 Te
0.760 0.229 0.229 Te
0.771 0.240 0.771 Te
0.771 0.771 0.240 Te
```

Output
size of the total moment = 1.0 μB/f.u.
raw formation energy = -1.0679 eV per atom
total DFT energy (no corrections) = -4.6714 eV/atom

2.
Tc4HgCl | PBE | optimized geometry

Structure (POSCAR):
```
Tc4HgCl
1.0
0.000 3.718 3.718
3.718 0.000 3.718
3.718 3.718 0.000
Tc Hg Cl
4 1 1
Direct
0.123 0.123 0.123 Tc
0.123 0.123 0.630 Tc
0.123 0.630 0.123 Tc
0.630 0.123 0.123 Tc
0.500 0.500 0.500 Hg
0.750 0.750 0.750 Cl
```

Output
size of the total moment = 0.0 μB/f.u.
raw formation energy = 0.9652 eV per atom
total DFT energy (no corrections) = -6.3035 eV/atom

3.
AsRu2Pb | PBE | optimized geometry

Structure (POSCAR):
```
AsRu2Pb
1.0
1.591 0.919 7.954
-1.591 0.919 7.954
0.000 -1.837 7.954
As Ru Pb
1 2 1
Direct
0.000 0.000 0.000 As
0.262 0.262 0.262 Ru
0.738 0.738 0.738 Ru
0.500 0.500 0.500 Pb
```

Output
size of the total moment = 0.0 μB/f.u.
excess energy over the best structure of this formula in the dataset = 56 meV/atom
total DFT energy (no corrections) = -6.4765 eV/atom
energy relative to the elements = 97 kJ/mol of formula units

4.
Ac2UN2O2 | PBE | optimized geometry

Structure (POSCAR):
```
Ac2UN2O2
1.0
-2.177 2.177 6.689
2.177 -2.177 6.689
2.177 2.177 -6.689
Ac U N O
2 1 2 2
Direct
0.148 0.148 0.000 Ac
0.852 0.852 0.000 Ac
0.500 0.500 0.000 U
0.000 0.500 0.500 N
0.500 0.000 0.500 N
0.328 0.328 0.000 O
0.672 0.672 0.000 O
```

Output
size of the total moment = 1.5 μB/f.u.
raw formation energy = -2.0767 eV per atom
total DFT energy (no corrections) = -8.6585 eV/atom

no.,N(E_F) (states/eV/atom)
1,0.21
2,0.92
3,0.38
4,0.48